Computed, not measured: a relaxed structure of Pu2RuPb at the PBE level of DFT.

Unit cell a=3.2733 b=3.2733 c=8.8423 alpha=90.00 beta=90.00 gamma=90.00
Closest atoms and distances in Å follow each position.
Fractional positions:
Pu  0.0000  0.0000  0.2001  4 Ru 2.91
Pu  0.0000  0.0000  0.7999  4 Ru 2.91
Ru  0.5000  0.5000  0.0000  8 Pu 2.91
Pb  0.5000  0.5000  0.5000  4 Pb 3.27, 8 Pu 3.52

For the total energy, the calculation gives -10.605 eV/atom. The total magnetization is 10.1 μB/f.u. As for the crystal system: tetragonal. The density of states at the Fermi level comes out at 11.4 states/eV per cell. The space group is P4/mmm, No. 123. The calculation puts the formation energy from the elements at -193 meV per atom.

Computed, not measured: a relaxed structure of CdHgAu2 at the PBE level of DFT.

Unit cell a=5.1034 b=5.1034 c=5.1034 alpha=128.58 beta=128.58 gamma=75.69
Closest atoms and distances in Å follow each position.
Fractional positions:
Cd  0.0000  0.0000  0.0000  8 Au 2.99, 4 Hg 3.13
Hg  0.5000  0.5000  0.0000  8 Au 2.99, 4 Cd 3.13
Au  0.2500  0.7500  0.5000  4 Hg 2.99, 4 Cd 2.99, 4 Au 3.13
Au  0.7500  0.2500  0.5000  4 Hg 2.99, 4 Cd 2.99, 4 Au 3.13

For the total energy, the calculation gives -1.970 eV/atom. The total magnetization is 0.0 μB/f.u. As for the crystal system: tetragonal. The density of states at the Fermi level comes out at 1.3 states/eV per cell. The space group is I4/mmm, No. 139. The calculation puts the formation energy from the elements at -27 meV per atom.